No. 1
The following is a DFT calculation (PBE-GGA) of a geometry-optimized Li2HgPd structure.

a = 4.0692 Å, b = 4.0692 Å, c = 3.7390 Å
α = 90.00°, β = 90.00°, γ = 90.00°
With the nearest neighbours (Å) after each atom.
Space group P4/mmm (No. 123)
Unique sites:
1 Li 0.0000 0.5000 0.0000 x2  4 Pd 2.76, 4 Hg 2.76, 4 Li 2.88
2 Hg 0.0000 0.0000 0.5000 x1  8 Li 2.76, 4 Pd 2.88
3 Pd 0.5000 0.5000 0.5000 x1  8 Li 2.76, 4 Hg 2.88

---

No. 2
The following is a DFT calculation (PBE-GGA) of a geometry-optimized LiHg2Pd structure.

a = 6.1897 Å, b = 7.5090 Å, c = 6.2073 Å
α = 90.00°, β = 90.00°, γ = 90.00°
With the nearest neighbours (Å) after each atom.
Space group Imma (No. 74)
Unique sites:
1 Li 0.0000 0.2500 0.0111 x4  8 Hg 2.88-2.89, 3 Pd 2.98-3.09
2 Hg 0.2500 0.0062 0.7500 x8  4 Li 2.88-2.89, 4 Pd 2.88-2.89, 4 Hg 3.09-3.11
3 Pd 0.0000 0.2500 0.4914 x4  8 Hg 2.88-2.89, 4 Li 2.98-3.23

E above lowest polymorph   25 meV/atom

---

No. 3
The following is a DFT calculation (PBE-GGA) of a geometry-optimized Li2HgPd structure.

a = 4.1314 Å, b = 4.1314 Å, c = 7.1997 Å
α = 90.00°, β = 90.00°, γ = 90.00°
With the nearest neighbours (Å) after each atom.
Space group I4/mmm (No. 139)
Unique sites:
1 Li 0.0000 0.5000 0.2500 x4  4 Hg 2.74, 4 Pd 2.74, 4 Li 2.92
2 Hg 0.0000 0.0000 0.0000 x2  8 Li 2.74, 4 Pd 2.92
3 Pd 0.0000 0.0000 0.5000 x2  8 Li 2.74, 4 Hg 2.92

---

No. 4
The following is a DFT calculation (PBE-GGA) of a geometry-optimized LiHgSbPd structure.

a = 6.7169 Å, b = 6.7169 Å, c = 6.7169 Å
α = 90.00°, β = 90.00°, γ = 90.00°
With the nearest neighbours (Å) after each atom.
Space group F-43m (No. 216)
Unique sites:
1 Li 0.0000 0.0000 0.0000 x4  4 Hg 2.91, 4 Sb 2.91
2 Hg 0.2500 0.2500 0.2500 x4  4 Li 2.91, 4 Pd 2.91
3 Sb 0.2500 0.2500 0.7500 x4  4 Li 2.91, 4 Pd 2.91
4 Pd 0.0000 0.0000 0.5000 x4  4 Sb 2.91, 4 Hg 2.91

E above lowest polymorph   0 meV/atom

---

No. 5
The following is a DFT calculation (PBE-GGA) of a geometry-optimized Li4SiHgPd2 structure.

a = 4.3089 Å, b = 4.3089 Å, c = 6.2610 Å
α = 90.00°, β = 90.00°, γ = 90.00°
With the nearest neighbours (Å) after each atom.
Space group P-4m2 (No. 115)
Unique sites:
1 Li 0.0000 0.0000 0.0000 x1  4 Pd 2.49, 4 Li 2.62
2 Li 0.0000 0.5000 0.2390 x2  4 Li 2.62-2.70, 2 Si 2.62, 2 Hg 2.70, 1 Pd 2.75
3 Li 0.5000 0.5000 0.5000 x1  4 Li 2.70, 4 Pd 2.86
4 Si 0.5000 0.5000 0.0000 x1  4 Pd 2.49, 4 Li 2.62
5 Hg 0.0000 0.0000 0.5000 x1  4 Li 2.70, 4 Pd 2.86
6 Pd 0.0000 0.5000 0.7996 x2  3 Li 2.49-2.75, 2 Si 2.49

---

No. 6
The following is a DFT calculation (PBE-GGA) of a geometry-optimized LiHg3Te4Pd structure.

a = 6.5494 Å, b = 6.5494 Å, c = 6.5494 Å
α = 90.00°, β = 90.00°, γ = 90.00°
With the nearest neighbours (Å) after each atom.
Space group P-43m (No. 215)
Unique sites:
1 Li 0.0000 0.0000 0.0000 x1  4 Te 2.75
2 Hg 0.0000 0.5000 0.5000 x3  4 Te 2.87
3 Te 0.2426 0.2426 0.2426 x4  1 Li 2.75, 3 Hg 2.87, 1 Pd 2.92
4 Pd 0.5000 0.5000 0.5000 x1  4 Te 2.92

---

| no. | E_tot (eV/cell) |
| --- | --- |
| 1 | -11.0 |
| 2 | -35.4 |
| 3 | -22.0 |
| 4 | -51.3 |
| 5 | -27.7 |
| 6 | -22.0 |